# K2LaAs

Crystalline K2LaAs at its relaxed geometry (PBE, Alexandria).

Values from the calculation:
Total magnetic moment: 0.68 μB per formula unit
VASP energy: -2.773 eV/atom
Formation enthalpy at 0 K: 0.17 eV per atom

Geometry as POSCAR:
```
K2LaAs
1.0
3.4868 0.0000 0.0000
0.0000 3.4868 0.0000
0.0000 0.0000 12.3993
K La As
2 1 1
direct
0.0000 0.0000 0.1827
0.0000 0.0000 0.8173
0.5000 0.5000 0.5000
0.5000 0.5000 0.0000
```